1.
This record from Alexandria describes PmLuBeIn after structural relaxation. The functional is PBE.

a = 5.133 Å, b = 5.133 Å, c = 5.133 Å
α = 60.00°, β = 60.00°, γ = 60.00°
Positions (direct):
Be1 0.000 0.000 0.000
Lu1 0.750 0.750 0.750
In1 0.500 0.500 0.500
Pm1 0.250 0.250 0.250

Summary:
- SG = No. 216
- energy of formation from the pure elements (kJ per mole of atoms) = -9
- crystal system = cubic

2.
This record from Alexandria describes LuScBeIn after structural relaxation. The functional is PBE.

a = 4.905 Å, b = 4.905 Å, c = 4.905 Å
α = 60.00°, β = 60.00°, γ = 60.00°
Positions (direct):
Sc1 0.000 0.000 0.000
Be1 0.250 0.250 0.250
Lu1 0.500 0.500 0.500
In1 0.750 0.750 0.750

Summary:
- SG = No. 216
- energy of formation from the pure elements (kJ per mole of atoms) = -12
- crystal system = cubic

3.
This record from Alexandria describes TbLuBeIn after structural relaxation. The functional is PBE.

a = 5.070 Å, b = 5.070 Å, c = 5.070 Å
α = 60.00°, β = 60.00°, γ = 60.00°
Positions (direct):
Be1 0.000 0.000 0.000
Lu1 0.750 0.750 0.750
Tb1 0.250 0.250 0.250
In1 0.500 0.500 0.500

Summary:
- SG = No. 216
- energy of formation from the pure elements (kJ per mole of atoms) = -11
- crystal system = cubic

4.
This record from Alexandria describes YLuBeIn after structural relaxation. The functional is PBE.

a = 5.064 Å, b = 5.064 Å, c = 5.064 Å
α = 60.00°, β = 60.00°, γ = 60.00°
Positions (direct):
Y1 0.750 0.750 0.750
Be1 0.000 0.000 0.000
Lu1 0.250 0.250 0.250
In1 0.500 0.500 0.500

Summary:
- SG = No. 216
- energy of formation from the pure elements (kJ per mole of atoms) = -12
- crystal system = cubic

Q: Which value of energy of formation from the pure elements does entry 2 give?
A: -12 kJ per mole of atoms